# Na2GaHgF6

Na2GaHgF6 after structural relaxation (PBE, Alexandria via LeMat-Bulk).

The structure in CIF format:
```
data_Na2GaHgF6
_symmetry_space_group_name_H-M 'R 3'
_symmetry_Int_Tables_number 146
_symmetry_space_group_name_Hall 'R 3'
_cell_length_a 5.8013
_cell_length_b 5.8013
_cell_length_c 15.6151
_cell_angle_alpha 90.00
_cell_angle_beta 90.00
_cell_angle_gamma 120.00
loop_
_atom_site_label
_atom_site_type_symbol
_atom_site_fract_x
_atom_site_fract_y
_atom_site_fract_z
Na1 Na 0.0000 0.0000 0.0000
Na2 Na 0.0000 0.0000 0.4779
Ga1 Ga 0.0000 0.0000 0.6831
Hg1 Hg 0.0000 0.0000 0.2128
F1 F 0.0342 0.7563 0.6031
F2 F 0.0509 0.3829 0.4124
```

The value obtained for the formation energy from raw total energies is -2.329 eV/atom. As for the density of states at the Fermi level: 9.1 states/eV/cell.


# NaGaHg2F4

NaGaHg2F4 after structural relaxation (PBE, Alexandria via LeMat-Bulk).

The structure in CIF format:
```
data_NaGaHg2F4
_symmetry_space_group_name_H-M 'P 1'
_symmetry_Int_Tables_number 1
_symmetry_space_group_name_Hall 'P 1'
_cell_length_a 6.499
_cell_length_b 6.533
_cell_length_c 6.539
_cell_angle_alpha 90.92
_cell_angle_beta 119.22
_cell_angle_gamma 119.34
loop_
_atom_site_label
_atom_site_type_symbol
_atom_site_fract_x
_atom_site_fract_y
_atom_site_fract_z
Na1 Na 0.000 0.000 0.000
Ga1 Ga 0.500 0.252 0.747
Hg1 Hg 0.000 0.505 0.493
Hg2 Hg 0.501 0.750 0.252
F1 F 0.273 0.145 0.858
F2 F 0.280 0.141 0.412
F3 F 0.718 0.133 0.857
F4 F 0.727 0.587 0.860
```

The value obtained for the formation energy from raw total energies is -1.959 eV/atom. As for the density of states at the Fermi level: 0.0 states/eV/cell.


# Na2GaHgF6

Na2GaHgF6 after structural relaxation (PBE, Alexandria via LeMat-Bulk).

The structure in CIF format:
```
data_Na2GaHgF6
_symmetry_space_group_name_H-M 'F m -3 m'
_symmetry_Int_Tables_number 225
_symmetry_space_group_name_Hall '-F 4 2 3'
_cell_length_a 8.770
_cell_length_b 8.770
_cell_length_c 8.770
_cell_angle_alpha 90.00
_cell_angle_beta 90.00
_cell_angle_gamma 90.00
loop_
_atom_site_label
_atom_site_type_symbol
_atom_site_fract_x
_atom_site_fract_y
_atom_site_fract_z
Na1 Na 0.250 0.250 0.250
Ga1 Ga 0.000 0.000 0.000
Hg1 Hg 0.000 0.000 0.500
F1 F 0.000 0.000 0.219
```

The value obtained for the formation energy from raw total energies is -2.188 eV/atom. As for the density of states at the Fermi level: 5.2 states/eV/cell.


Please write out number 2 again, unchanged.
# NaGaHg2F4

NaGaHg2F4 after structural relaxation (PBE, Alexandria via LeMat-Bulk).

The structure in CIF format:
```
data_NaGaHg2F4
_symmetry_space_group_name_H-M 'P 1'
_symmetry_Int_Tables_number 1
_symmetry_space_group_name_Hall 'P 1'
_cell_length_a 6.499
_cell_length_b 6.533
_cell_length_c 6.539
_cell_angle_alpha 90.92
_cell_angle_beta 119.22
_cell_angle_gamma 119.34
loop_
_atom_site_label
_atom_site_type_symbol
_atom_site_fract_x
_atom_site_fract_y
_atom_site_fract_z
Na1 Na 0.000 0.000 0.000
Ga1 Ga 0.500 0.252 0.747
Hg1 Hg 0.000 0.505 0.493
Hg2 Hg 0.501 0.750 0.252
F1 F 0.273 0.145 0.858
F2 F 0.280 0.141 0.412
F3 F 0.718 0.133 0.857
F4 F 0.727 0.587 0.860
```

The value obtained for the formation energy from raw total energies is -1.959 eV/atom. As for the density of states at the Fermi level: 0.0 states/eV/cell.